Here is a relaxed Tl3Br2F crystal from Alexandria. Energies are from PBE.

The structure belongs to space group C2/c (No. 15); the cell edges are 14.287, 6.674 and 8.942 Å and the angles 90.00°, 108.13° and 90.00°. The inequivalent atoms are Tl at (0.000, 0.044, 0.250), Tl at (0.138, 0.499, 0.571), Br at (0.183, 0.004, 0.091) and F at (0.000, 0.414, 0.250).

The uncorrected formation energy is -1124.8 meV per atom.